First-principles (PBE) data for a relaxed CsZr2Ir crystal, as listed in Alexandria via LeMat-Bulk.

Summary:
* space group: No. 122
* energy relative to the lowest polymorph listed for this composition: 186 meV/atom
* energy of formation: 0.875 eV per atom

Unit cell a=6.174 b=6.174 c=9.377 alpha=70.78 beta=70.78 gamma=90.00
Positions (direct):
Zr: 0.874 0.125 0.250
Cs: 0.500 0.500 0.000
Cs: 0.250 0.750 0.500
Ir: 0.000 0.000 0.000
Zr: 0.876 0.625 0.250
Zr: 0.875 0.124 0.750
Zr: 0.375 0.126 0.750
Ir: 0.750 0.250 0.500